# 1
Here is Er8AgC4 after structural relaxation from Alexandria via LeMat-Bulk. Energies are from PBE.

* space-group type: C2/m (12)
* total magnetic moment: 0.00 μB/atom
* calculated formation energy: -264 meV per atom
* density of states at the Fermi level: 7.66 states/eV per cell

abc: 8.9070 8.9070 12.3278
angles: 133.76 133.76 23.30
Sites, in units of the cell vectors:
Er 0.0448 0.0448 0.2051
Er 0.3155 0.3155 0.4626
Er 0.3414 0.3414 0.8859
Er 0.3520 0.3520 0.1683
Er 0.6480 0.6480 0.8317
Er 0.6586 0.6586 0.1141
Er 0.6845 0.6845 0.5374
Er 0.9552 0.9552 0.7949
Ag 0.0000 0.0000 0.5000
C 0.1544 0.1544 0.9763
C 0.3225 0.3225 0.6681
C 0.6775 0.6775 0.3319
C 0.8456 0.8456 0.0237

=====

# 2
Here is ScAl after structural relaxation from Alexandria via LeMat-Bulk. Energies are from PBE.

* space-group type: C2/m (12)
* total magnetic moment: 0.00 μB/atom
* calculated formation energy: -378 meV per atom
* density of states at the Fermi level: 3.34 states/eV per cell

abc: 5.7805 5.7805 4.7307
angles: 114.14 114.14 33.73
Sites, in units of the cell vectors:
Sc 0.1178 0.1178 0.3683
Sc 0.8822 0.8822 0.6317
Al 0.3566 0.3566 0.1059
Al 0.6434 0.6434 0.8941

=====

# 3
Here is Ba4P2O after structural relaxation from Alexandria via LeMat-Bulk. Energies are from PBE.

* formation energy from raw total energies: -1407 meV/atom
* space-group type: Cmce (64)
* total magnetic moment: 0.00 μB/atom

abc: 9.0557 9.0557 7.6224
angles: 90.00 90.00 132.77
Sites, in units of the cell vectors:
Ba 0.1776 0.8224 0.9300
Ba 0.2298 0.2702 0.7500
Ba 0.2702 0.2298 0.2500
Ba 0.3224 0.6776 0.4300
Ba 0.6776 0.3224 0.5700
Ba 0.7298 0.7702 0.7500
Ba 0.7702 0.7298 0.2500
Ba 0.8224 0.1776 0.0700
P 0.1346 0.8654 0.5239
P 0.3654 0.6346 0.0239
P 0.6346 0.3654 0.9761
P 0.8654 0.1346 0.4761
O 0.0000 0.0000 0.0000
O 0.5000 0.5000 0.5000

=====

# 4
Here is PaCr4Se8 after structural relaxation from Alexandria via LeMat-Bulk. Energies are from PBE.

* formation energy from raw total energies: -698 meV/atom
* space-group type: R-3m (166)
* total magnetic moment: 1.00 μB/atom
* density of states at the Fermi level: 5.36 states/eV per cell

abc: 7.6193 7.6193 7.6193
angles: 58.65 58.65 58.65
Sites, in units of the cell vectors:
Pa 0.0000 0.0000 0.0000
Cr 0.0000 0.0000 0.5000
Cr 0.0000 0.5000 0.0000
Cr 0.5000 0.0000 0.0000
Cr 0.5000 0.5000 0.5000
Se 0.2388 0.2388 0.2388
Se 0.2446 0.7393 0.7393
Se 0.2607 0.2607 0.7554
Se 0.2607 0.7554 0.2607
Se 0.7393 0.2446 0.7393
Se 0.7393 0.7393 0.2446
Se 0.7554 0.2607 0.2607
Se 0.7612 0.7612 0.7612

=====

# 5
Here is U2InSn5 after structural relaxation from Alexandria via LeMat-Bulk. Energies are from PBE.

* space-group type: Pbam (55)
* total magnetic moment: 0.57 μB/atom
* calculated formation energy: -124 meV per atom
* density of states at the Fermi level: 29.67 states/eV per cell

abc: 6.4745 12.9682 4.7231
angles: 90.00 90.00 90.00
Sites, in units of the cell vectors:
U 0.2331 0.1285 0.0000
U 0.2669 0.6285 0.0000
U 0.7331 0.3715 0.0000
U 0.7669 0.8715 0.0000
In 0.0000 0.5000 0.5000
In 0.5000 0.0000 0.5000
Sn 0.0000 0.0000 0.5000
Sn 0.0176 0.7487 0.5000
Sn 0.2343 0.3790 0.0000
Sn 0.2657 0.8790 0.0000
Sn 0.4824 0.2487 0.5000
Sn 0.5000 0.5000 0.5000
Sn 0.5176 0.7513 0.5000
Sn 0.7343 0.1210 0.0000
Sn 0.7657 0.6210 0.0000
Sn 0.9824 0.2513 0.5000

=====

# 6
Here is BeBCl3 after structural relaxation from Alexandria via LeMat-Bulk. Energies are from PBE.

* formation energy from raw total energies: 612 meV/atom
* space-group type: Pm-3m (221)
* total magnetic moment: 0.00 μB/atom
* density of states at the Fermi level: 0.71 states/eV per cell

abc: 4.3579 4.3579 4.3579
angles: 90.00 90.00 90.00
Sites, in units of the cell vectors:
Be 0.0000 0.0000 0.0000
B 0.5000 0.5000 0.5000
Cl 0.0000 0.5000 0.5000
Cl 0.5000 0.0000 0.5000
Cl 0.5000 0.5000 0.0000

=====

# 7
Here is CuHgTe2 after structural relaxation from Alexandria via LeMat-Bulk. Energies are from PBE.

* formation energy from raw total energies: 14 meV/atom
* space-group type: Pnma (62)
* total magnetic moment: 0.00 μB/atom
* density of states at the Fermi level: 5.76 states/eV per cell

abc: 9.1283 4.0570 12.3254
angles: 90.00 90.00 90.00
Sites, in units of the cell vectors:
Cu 0.2314 0.2500 0.1528
Cu 0.2686 0.7500 0.6528
Cu 0.7314 0.2500 0.3472
Cu 0.7686 0.7500 0.8472
Hg 0.0995 0.2500 0.9417
Hg 0.4005 0.7500 0.4417
Hg 0.5995 0.2500 0.5583
Hg 0.9005 0.7500 0.0583
Te 0.1256 0.2500 0.5769
Te 0.1308 0.7500 0.2625
Te 0.3692 0.2500 0.7625
Te 0.3744 0.7500 0.0769
Te 0.6256 0.2500 0.9231
Te 0.6308 0.7500 0.2375
Te 0.8692 0.2500 0.7375
Te 0.8744 0.7500 0.4231

=====

# 8
Here is SiIBr3 after structural relaxation from Alexandria via LeMat-Bulk. Energies are from PBE.

* formation energy from raw total energies: -703 meV/atom
* space-group type: P1 (1)
* total magnetic moment: 0.00 μB/atom
* density of states at the Fermi level: 0.00 states/eV per cell

abc: 7.3481 7.9731 8.5534
angles: 89.98 89.92 89.99
Sites, in units of the cell vectors:
Si 0.0000 0.0000 0.0000
Si 0.4994 0.5904 0.4996
I 0.4136 0.8855 0.5002
I 0.9138 0.7050 0.0007
Br 0.3008 0.0267 0.9985
Br 0.3885 0.4634 0.7104
Br 0.3889 0.4646 0.2885
Br 0.8002 0.5636 0.4993
Br 0.8879 0.1263 0.7895
Br 0.8903 0.1267 0.2113